No. 1
Density functional theory data (SCAN) for a PBEsol-optimized structure of CsInTe2.

abc: 7.019 7.603 7.603
angles: 111.81 104.90 104.90
Fractional positions:
Cs 0.750 0.372 0.628
Cs 0.250 0.628 0.372
Te 0.122 0.079 0.328
Te 0.378 0.672 0.921
Te 0.878 0.921 0.672
Te 0.622 0.328 0.079
In 0.750 0.995 0.005
In 0.250 0.005 0.995

Output
As for the space group: C2/c (15). Its uncorrected formation energy is -0.818 eV/atom.

No. 2
Density functional theory data (SCAN) for a PBEsol-optimized structure of Li4Nb2Co3Ni3O16.

abc: 5.685 5.750 9.373
angles: 91.67 89.96 119.66
Fractional positions:
Li 0.340 0.681 0.100
Li 0.002 0.004 0.006
Li 0.997 0.995 0.506
Li 0.665 0.330 0.604
Nb 0.332 0.665 0.507
Nb 0.675 0.350 0.005
Co 0.168 0.830 0.785
Co 0.662 0.830 0.785
Co 0.831 0.662 0.284
Ni 0.168 0.336 0.786
Ni 0.337 0.169 0.284
Ni 0.832 0.169 0.284
O 0.150 0.815 0.404
O 0.480 0.961 0.670
O 0.336 0.673 0.884
O 0.997 0.993 0.695
O 0.994 0.987 0.196
O 0.665 0.815 0.405
O 0.032 0.518 0.666
O 0.484 0.517 0.667
O 0.839 0.679 0.895
O 0.158 0.316 0.406
O 0.527 0.500 0.160
O 0.973 0.500 0.160
O 0.672 0.344 0.381
O 0.328 0.158 0.903
O 0.523 0.044 0.161
O 0.832 0.159 0.903

Output
As for the space group: P1 (1). Its uncorrected formation energy is -1.926 eV/atom.

No. 3
Density functional theory data (SCAN) for a PBEsol-optimized structure of CaY2Pb2.

abc: 4.831 4.831 7.636
angles: 108.44 108.44 90.00
Fractional positions:
Pb 0.392 0.392 0.785
Pb 0.608 0.608 0.215
Y 0.250 0.750 0.500
Y 0.750 0.250 0.500
Ca 0.000 0.000 0.000

Output
The formation energy is -0.487 eV/atom. As for the space group: I4/mmm (139).

No. 4
Density functional theory data (SCAN) for a PBEsol-optimized structure of BeIn2Br.

abc: 3.214 5.468 5.468
angles: 89.07 77.72 77.72
Fractional positions:
Be 0.500 0.000 0.000
Br 0.500 0.500 0.500
In 0.000 0.000 0.500
In 0.000 0.500 0.000

Output
As for the space group: C2/m (12). Its uncorrected formation energy is 0.266 eV/atom.